(one)
Density functional theory data (PBE-GGA) for an optimized crystal structure of DyCoB4.

Cell and atoms, written as POSCAR:
```
DyCoB4
1.0
-0.788 -3.058 0.052
2.141 1.044 -2.074
4.712 -1.143 4.288
B Co Dy
4 1 1
Direct
0.667 0.333 0.199
0.333 0.667 0.199
0.667 0.333 0.801
0.333 0.667 0.801
0.000 0.000 0.000
0.000 0.000 0.500
```

Results
Its space group is P6/mmm. Its crystal system is hexagonal.

=====

(two)
Density functional theory data (PBE-GGA) for an optimized crystal structure of DyCoB4.

Cell and atoms, written as POSCAR:
```
DyCoB4
1.0
-2.829 -2.919 2.419
-3.466 3.048 1.036
2.029 -2.159 -3.687
B Co Dy
4 1 1
Direct
0.582 0.249 0.333
0.084 0.751 0.333
0.916 0.249 0.667
0.418 0.751 0.667
0.500 0.500 0.000
0.000 0.000 0.000
```

Results
Its space group is Immm. Its crystal system is orthorhombic.

=====

Stability summary - winner: (one); margin: 18.9 kJ/mol of atoms.